# PBE-GGA Pm8NiSn2, relaxed
data_Pm8NiSn2
_chemical_formula_sum 'Pm16 Ni2 Sn4'
_symmetry_space_group_name_H-M 'C 1 2/m 1'
_symmetry_Int_Tables_number 12
_cell_length_a 19.496
_cell_length_b 5.019
_cell_length_c 6.941
_cell_angle_alpha 90.00
_cell_angle_beta 103.97
_cell_angle_gamma 90.00
loop_
_symmetry_equiv_pos_as_xyz
'x,y,z'
'-x,-y,-z'
'-x,y,-z'
'x,-y,z'
'x+1/2,y+1/2,z'
'-x+1/2,-y+1/2,-z'
'-x+1/2,y+1/2,-z'
'x+1/2,-y+1/2,z'
loop_
_atom_site_label
_atom_site_type_symbol
_atom_site_fract_x
_atom_site_fract_y
_atom_site_fract_z
Pm1 Pm 0.014 0.000 0.284
Pm2 Pm 0.092 0.500 0.976
Pm3 Pm 0.144 0.500 0.503
Pm4 Pm 0.216 0.000 0.821
Ni1 Ni 0.000 0.500 0.500
Sn1 Sn 0.181 0.000 0.259
# E_tot (eV per atom): -5.05
# DOS at the Fermi energy (states/eV per atom): 0.826
# ΔH_f (0 K) (eV per atom): -0.339